First-principles (GGA-PBE) data for crystalline LiMnRh3 at its relaxed geometry, as listed in the Alexandria database.

a b c (Å): 4.453 4.453 4.453
angles (deg): 90.00 90.00 90.00
Element x y z (fractional)
Li (0.000, 0.000, 0.000)
Mn (0.500, 0.500, 0.500)
Rh (0.000, 0.500, 0.500)
Rh (0.500, 0.000, 0.500)
Rh (0.500, 0.500, 0.000)

Energy in eV per atom: -5.933
Total moment in μB per formula unit: 0.000

=====

First-principles (GGA-PBE) data for crystalline PrNdHSe at its relaxed geometry, as listed in the Alexandria database.

a b c (Å): 13.680 13.680 13.680
angles (deg): 17.04 17.04 17.04
Element x y z (fractional)
Pr (0.119, 0.119, 0.119)
Pr (0.881, 0.881, 0.881)
Nd (0.289, 0.289, 0.289)
Nd (0.711, 0.711, 0.711)
H (0.230, 0.230, 0.230)
H (0.770, 0.770, 0.770)
Se (0.000, 0.000, 0.000)
Se (0.500, 0.500, 0.500)

Energy in eV per atom: -5.221
Total moment in μB per formula unit: 0.082

=====

First-principles (GGA-PBE) data for crystalline Ta6TiW2 at its relaxed geometry, as listed in the Alexandria database.

a b c (Å): 5.429 5.429 9.892
angles (deg): 107.78 107.78 34.99
Element x y z (fractional)
Ta (0.006, 0.006, 0.329)
Ta (0.326, 0.326, 0.114)
Ta (0.331, 0.331, 0.437)
Ta (0.669, 0.669, 0.563)
Ta (0.674, 0.674, 0.886)
Ta (0.994, 0.994, 0.671)
Ti (0.000, 0.000, 0.000)
W (0.334, 0.334, 0.779)
W (0.666, 0.666, 0.221)

Energy in eV per atom: -11.687
Total moment in μB per formula unit: 0.000

=====

First-principles (GGA-PBE) data for crystalline Nd4Al2Cd at its relaxed geometry, as listed in the Alexandria database.

a b c (Å): 9.003 9.003 9.003
angles (deg): 34.18 34.18 34.18
Element x y z (fractional)
Nd (0.117, 0.117, 0.117)
Nd (0.369, 0.369, 0.369)
Nd (0.631, 0.631, 0.631)
Nd (0.883, 0.883, 0.883)
Al (0.245, 0.245, 0.245)
Al (0.755, 0.755, 0.755)
Cd (0.500, 0.500, 0.500)

Energy in eV per atom: -4.147
Total moment in μB per formula unit: 0.000